No. 1
Density functional theory data (PBE) for crystalline InTc4Ru at its relaxed geometry.

Properties
Volume in Å³ per atom: 16.04
Formation energy from the elements in meV per atom: 395
DFT total energy in eV per atom: -8.52
Spin magnetization in μB per formula unit: 0.000

Lattice parameters (Å, degrees): 7.275 7.275 7.275 90.00 90.00 90.00
Space group F-43m (No. 216)
One atom of each set of equivalent atoms:
In 0.000 0.000 0.000 (multiplicity 4)
Tc 0.125 0.125 0.375 (multiplicity 16)
Ru 0.250 0.250 0.750 (multiplicity 4)

***

No. 2
Density functional theory data (PBE) for crystalline GdSbRh at its relaxed geometry.

Properties
Volume in Å³ per atom: 22.29
DFT total energy in eV per atom: -9.43
Formation energy without anion corrections in eV per formula unit: -2.747
Spin magnetization in μB per formula unit: 7.002

Lattice parameters (Å, degrees): 4.5834 4.5834 3.6751 90.00 90.00 120.00
Space group P-6m2 (No. 187)
One atom of each set of equivalent atoms:
Gd 0.0000 0.0000 0.0000 (multiplicity 1)
Sb 0.6667 0.3333 0.5000 (multiplicity 1)
Rh 0.3333 0.6667 0.5000 (multiplicity 1)

***

No. 3
Density functional theory data (PBE) for crystalline AlRuN2F at its relaxed geometry.

Properties
Volume in Å³ per atom: 12.60
Polymorph energy (0 for the lowest one) in meV per atom: 232.3
DFT total energy in eV per atom: -5.98
Formation energy without anion corrections in eV per formula unit: 1.653
Spin magnetization in μB per formula unit: 0.431

Lattice parameters (Å, degrees): 3.859 3.859 4.230 90.00 90.00 90.00
Space group P4/mmm (No. 123)
One atom of each set of equivalent atoms:
Al 0.000 0.000 0.000 (multiplicity 1)
Ru 0.500 0.500 0.500 (multiplicity 1)
N 0.000 0.500 0.500 (multiplicity 2)
F 0.500 0.500 0.000 (multiplicity 1)